Entry 1:
# HoTh5C4 PBE relaxed
# VASP energy (eV per cell): -81.298
# Crystal system: monoclinic
data_HoTh5C4
_symmetry_space_group_name_H-M 'P 1'
_symmetry_Int_Tables_number 1
_symmetry_space_group_name_Hall 'P 1'
_cell_length_a 8.249
_cell_length_b 8.249
_cell_length_c 7.500
_cell_angle_alpha 102.34
_cell_angle_beta 102.34
_cell_angle_gamma 25.72
loop_
_atom_site_label
_atom_site_type_symbol
_atom_site_fract_x
_atom_site_fract_y
_atom_site_fract_z
_atom_site_occupancy
C1 C 0.003 0.003 0.252 1
C2 C 0.333 0.333 0.919 1
Th1 Th 0.842 0.842 0.692 1
C3 C 0.667 0.667 0.081 1
C4 C 0.997 0.997 0.748 1
Th2 Th 0.500 0.500 0.500 1
Ho1 Ho 0.500 0.500 0.000 1
Th3 Th 0.162 0.162 0.842 1
Th4 Th 0.158 0.158 0.308 1
Th5 Th 0.838 0.838 0.158 1

***

Entry 2:
# Ho3ThC PBE relaxed
# VASP energy (eV per cell): -30.144
# Crystal system: cubic
data_Ho3ThC
_symmetry_space_group_name_H-M 'P 1'
_symmetry_Int_Tables_number 1
_symmetry_space_group_name_Hall 'P 1'
_cell_length_a 5.017
_cell_length_b 5.017
_cell_length_c 5.017
_cell_angle_alpha 90.00
_cell_angle_beta 90.00
_cell_angle_gamma 90.00
loop_
_atom_site_label
_atom_site_type_symbol
_atom_site_fract_x
_atom_site_fract_y
_atom_site_fract_z
_atom_site_occupancy
Ho1 Ho 0.500 0.500 0.000 1
Ho2 Ho 0.500 0.000 0.500 1
C1 C 0.500 0.500 0.500 1
Th1 Th 0.000 0.000 0.000 1
Ho3 Ho 0.000 0.500 0.500 1

***

Entry 3:
# HoTmTlC PBE relaxed
# VASP energy (eV per cell): -44.499
# Crystal system: hexagonal
data_HoTmTlC
_symmetry_space_group_name_H-M 'P 1'
_symmetry_Int_Tables_number 1
_symmetry_space_group_name_Hall 'P 1'
_cell_length_a 3.581
_cell_length_b 3.581
_cell_length_c 16.125
_cell_angle_alpha 90.00
_cell_angle_beta 90.00
_cell_angle_gamma 120.00
loop_
_atom_site_label
_atom_site_type_symbol
_atom_site_fract_x
_atom_site_fract_y
_atom_site_fract_z
_atom_site_occupancy
Tl1 Tl 0.333 0.667 0.000 1
Ho1 Ho 0.667 0.333 0.168 1
Ho2 Ho 0.667 0.333 0.832 1
Tl2 Tl 0.667 0.333 0.500 1
C1 C 0.000 0.000 0.251 1
Tm1 Tm 0.333 0.667 0.667 1
C2 C 0.000 0.000 0.749 1
Tm2 Tm 0.333 0.667 0.333 1

***

Entry 4:
# HoTm3Tl2C2 PBE relaxed
# VASP energy (eV per cell): -44.466
# Crystal system: trigonal
data_HoTm3Tl2C2
_symmetry_space_group_name_H-M 'P 1'
_symmetry_Int_Tables_number 1
_symmetry_space_group_name_Hall 'P 1'
_cell_length_a 3.568
_cell_length_b 3.568
_cell_length_c 16.085
_cell_angle_alpha 90.00
_cell_angle_beta 90.00
_cell_angle_gamma 120.00
loop_
_atom_site_label
_atom_site_type_symbol
_atom_site_fract_x
_atom_site_fract_y
_atom_site_fract_z
_atom_site_occupancy
Tm1 Tm 0.000 0.000 0.582 1
C1 C 0.333 0.667 0.001 1
Tm2 Tm 0.667 0.333 0.418 1
Ho1 Ho 0.000 0.000 0.917 1
C2 C 0.333 0.667 0.500 1
Tl1 Tl 0.000 0.000 0.250 1
Tm3 Tm 0.667 0.333 0.083 1
Tl2 Tl 0.667 0.333 0.749 1

***

Entry 5:
# HoTmTlC PBE relaxed
# VASP energy (eV per cell): -44.496
# Crystal system: hexagonal
data_HoTmTlC
_symmetry_space_group_name_H-M 'P 1'
_symmetry_Int_Tables_number 1
_symmetry_space_group_name_Hall 'P 1'
_cell_length_a 3.576
_cell_length_b 3.576
_cell_length_c 16.125
_cell_angle_alpha 90.00
_cell_angle_beta 90.00
_cell_angle_gamma 120.00
loop_
_atom_site_label
_atom_site_type_symbol
_atom_site_fract_x
_atom_site_fract_y
_atom_site_fract_z
_atom_site_occupancy
C1 C 0.000 0.000 0.501 1
Ho1 Ho 0.333 0.667 0.417 1
Tm1 Tm 0.667 0.333 0.583 1
Ho2 Ho 0.667 0.333 0.917 1
Tm2 Tm 0.333 0.667 0.083 1
Tl1 Tl 0.667 0.333 0.249 1
C2 C 0.000 0.000 0.001 1
Tl2 Tl 0.333 0.667 0.749 1

***

Entry 6:
# HoTmTlC PBE relaxed
# VASP energy (eV per cell): -44.496
# Crystal system: trigonal
data_HoTmTlC
_symmetry_space_group_name_H-M 'P 1'
_symmetry_Int_Tables_number 1
_symmetry_space_group_name_Hall 'P 1'
_cell_length_a 3.577
_cell_length_b 3.577
_cell_length_c 16.129
_cell_angle_alpha 90.00
_cell_angle_beta 90.00
_cell_angle_gamma 120.00
loop_
_atom_site_label
_atom_site_type_symbol
_atom_site_fract_x
_atom_site_fract_y
_atom_site_fract_z
_atom_site_occupancy
Tm1 Tm 0.667 0.333 0.918 1
Tl1 Tl 0.333 0.667 0.751 1
Tl2 Tl 0.667 0.333 0.249 1
C1 C 0.000 0.000 0.000 1
Ho1 Ho 0.333 0.667 0.416 1
C2 C 0.000 0.000 0.500 1
Ho2 Ho 0.667 0.333 0.584 1
Tm2 Tm 0.333 0.667 0.082 1

***

Entry 7:
# HoZrTlC PBE relaxed
# ΔE to the lowest computed polymorph (meV per atom): 2
# VASP energy (eV per cell): -53.368
# Crystal system: hexagonal
data_HoZrTlC
_symmetry_space_group_name_H-M 'P 1'
_symmetry_Int_Tables_number 1
_symmetry_space_group_name_Hall 'P 1'
_cell_length_a 3.470
_cell_length_b 3.470
_cell_length_c 15.683
_cell_angle_alpha 90.00
_cell_angle_beta 90.00
_cell_angle_gamma 120.00
loop_
_atom_site_label
_atom_site_type_symbol
_atom_site_fract_x
_atom_site_fract_y
_atom_site_fract_z
_atom_site_occupancy
Tl1 Tl 0.333 0.667 0.745 1
C1 C 0.000 0.000 0.009 1
Ho1 Ho 0.667 0.333 0.915 1
Tl2 Tl 0.667 0.333 0.245 1
Zr1 Zr 0.333 0.667 0.081 1
C2 C 0.000 0.000 0.509 1
Ho2 Ho 0.333 0.667 0.415 1
Zr2 Zr 0.667 0.333 0.581 1

***

Entry 8:
# HoZrTlC PBE relaxed
# ΔE to the lowest computed polymorph (meV per atom): 15
# VASP energy (eV per cell): -53.261
# Crystal system: trigonal
data_HoZrTlC
_symmetry_space_group_name_H-M 'P 1'
_symmetry_Int_Tables_number 1
_symmetry_space_group_name_Hall 'P 1'
_cell_length_a 3.482
_cell_length_b 3.482
_cell_length_c 15.686
_cell_angle_alpha 90.00
_cell_angle_beta 90.00
_cell_angle_gamma 120.00
loop_
_atom_site_label
_atom_site_type_symbol
_atom_site_fract_x
_atom_site_fract_y
_atom_site_fract_z
_atom_site_occupancy
Tl1 Tl 0.333 0.667 0.760 1
Ho1 Ho 0.667 0.333 0.587 1
Zr1 Zr 0.333 0.667 0.077 1
Ho2 Ho 0.333 0.667 0.413 1
Zr2 Zr 0.667 0.333 0.923 1
C1 C 0.000 0.000 0.500 1
C2 C 0.000 0.000 0.000 1
Tl2 Tl 0.667 0.333 0.240 1

***

Entry 9:
# Ho3ZrTl2C2 PBE relaxed
# VASP energy (eV per cell): -48.909
# Crystal system: trigonal
data_Ho3ZrTl2C2
_symmetry_space_group_name_H-M 'P 1'
_symmetry_Int_Tables_number 1
_symmetry_space_group_name_Hall 'P 1'
_cell_length_a 3.530
_cell_length_b 3.530
_cell_length_c 15.943
_cell_angle_alpha 90.00
_cell_angle_beta 90.00
_cell_angle_gamma 120.00
loop_
_atom_site_label
_atom_site_type_symbol
_atom_site_fract_x
_atom_site_fract_y
_atom_site_fract_z
_atom_site_occupancy
Tl1 Tl 0.333 0.667 0.243 1
Tl2 Tl 0.000 0.000 0.753 1
C1 C 0.667 0.333 0.498 1
Ho1 Ho 0.000 0.000 0.412 1
Zr1 Zr 0.000 0.000 0.081 1
Ho2 Ho 0.333 0.667 0.919 1
Ho3 Ho 0.333 0.667 0.582 1
C2 C 0.667 0.333 0.011 1

***

Entry 10:
# HoZrTlC PBE relaxed
# ΔE to the lowest computed polymorph (meV per atom): 0
# VASP energy (eV per cell): -53.382
# Crystal system: hexagonal
data_HoZrTlC
_symmetry_space_group_name_H-M 'P 1'
_symmetry_Int_Tables_number 1
_symmetry_space_group_name_Hall 'P 1'
_cell_length_a 3.470
_cell_length_b 3.470
_cell_length_c 15.672
_cell_angle_alpha 90.00
_cell_angle_beta 90.00
_cell_angle_gamma 120.00
loop_
_atom_site_label
_atom_site_type_symbol
_atom_site_fract_x
_atom_site_fract_y
_atom_site_fract_z
_atom_site_occupancy
C1 C 0.000 0.000 0.265 1
Tl1 Tl 0.333 0.667 0.000 1
Tl2 Tl 0.667 0.333 0.500 1
C2 C 0.000 0.000 0.735 1
Zr1 Zr 0.333 0.667 0.338 1
Zr2 Zr 0.333 0.667 0.662 1
Ho1 Ho 0.667 0.333 0.828 1
Ho2 Ho 0.667 0.333 0.172 1

***

Entry 11:
# Ho2Tm2C7 PBE relaxed
# VASP energy (eV per cell): -85.538
# Crystal system: triclinic
data_Ho2Tm2C7
_symmetry_space_group_name_H-M 'P 1'
_symmetry_Int_Tables_number 1
_symmetry_space_group_name_Hall 'P 1'
_cell_length_a 3.545
_cell_length_b 3.599
_cell_length_c 11.349
_cell_angle_alpha 83.99
_cell_angle_beta 83.67
_cell_angle_gamma 89.56
loop_
_atom_site_label
_atom_site_type_symbol
_atom_site_fract_x
_atom_site_fract_y
_atom_site_fract_z
_atom_site_occupancy
C1 C 0.133 0.808 0.096 1
C2 C 0.531 0.851 0.542 1
C3 C 0.000 0.000 0.000 1
C4 C 0.469 0.149 0.458 1
Tm1 Tm 0.406 0.673 0.864 1
C5 C 0.867 0.192 0.904 1
C6 C 0.469 0.738 0.665 1
Ho1 Ho 0.017 0.755 0.358 1
C7 C 0.531 0.262 0.335 1
Tm2 Tm 0.594 0.327 0.136 1
Ho2 Ho 0.983 0.245 0.642 1

***

Entry 12:
# Ho3TmC PBE relaxed
# VASP energy (eV per cell): -27.543
# Crystal system: cubic
data_Ho3TmC
_symmetry_space_group_name_H-M 'P 1'
_symmetry_Int_Tables_number 1
_symmetry_space_group_name_Hall 'P 1'
_cell_length_a 5.010
_cell_length_b 5.010
_cell_length_c 5.010
_cell_angle_alpha 90.00
_cell_angle_beta 90.00
_cell_angle_gamma 90.00
loop_
_atom_site_label
_atom_site_type_symbol
_atom_site_fract_x
_atom_site_fract_y
_atom_site_fract_z
_atom_site_occupancy
C1 C 0.000 0.000 0.000 1
Tm1 Tm 0.500 0.500 0.500 1
Ho1 Ho 0.000 0.000 0.500 1
Ho2 Ho 0.000 0.500 0.000 1
Ho3 Ho 0.500 0.000 0.000 1

***

Which of these has the highest VASP energy?
Ho3TmC

***

Which formula does entry 4 have?
HoTm3Tl2C2

***

Among the records above, which one has the lowest VASP energy?
Ho2Tm2C7